1.
## Ag2OsAuO (GGA-PBE)

Data for an optimized crystal structure of Ag2OsAuO.

Cell and atoms, written as POSCAR:
```
Ag2OsAuO
1.0
4.788 0.000 0.000
0.000 3.714 0.000
0.000 0.000 4.788
Os Au Ag O
1 1 2 1
Direct
0.000 0.500 0.000
0.500 0.500 0.500
0.500 0.000 0.000
0.000 0.000 0.500
0.000 0.000 0.000
```

Theoretical density in g/cm³: 12.07
D(E_F) in states/eV/atom: 0.826
E_form (uncorrected) in eV per atom: 0.44

---

2.
## AgPAuO2 (GGA-PBE)

Data for an optimized crystal structure of AgPAuO2.

Cell and atoms, written as POSCAR:
```
AgPAuO2
1.0
3.954 0.000 0.000
0.000 3.954 0.000
0.000 0.000 5.277
P O Ag Au
1 2 1 1
Direct
0.000 0.000 0.500
0.000 0.500 0.000
0.500 0.000 0.000
0.500 0.500 0.500
0.000 0.000 0.000
```

Theoretical density in g/cm³: 7.40
D(E_F) in states/eV/atom: 0.826
E_form (uncorrected) in eV per atom: 0.65